(1)
VASP calculation (PBE) on a relaxed structure of CaAlZn.

The structure in POSCAR format:
```
CaAlZn
1.0
4.578 0.000 0.000
-2.289 3.965 0.000
0.000 0.000 3.664
Ca Al Zn
1 1 1
direct
0.000 0.000 0.000 Ca
0.333 0.667 0.500 Al
0.667 0.333 0.500 Zn
```

Computed properties:
Its space-group type is No. 187.


(2)
VASP calculation (PBE) on a relaxed structure of CaAl3Zn3.

The structure in POSCAR format:
```
CaAl3Zn3
1.0
7.052 0.000 0.000
0.000 4.450 0.000
-3.304 0.000 8.693
Ca Al Zn
2 6 6
direct
0.046 0.250 0.210 Ca
0.954 0.750 0.790 Ca
0.237 0.250 0.687 Al
0.345 0.750 0.120 Al
0.473 0.750 0.716 Al
0.527 0.250 0.284 Al
0.655 0.250 0.880 Al
0.763 0.750 0.313 Al
0.116 0.750 0.510 Zn
0.314 0.250 0.975 Zn
0.420 0.750 0.414 Zn
0.580 0.250 0.586 Zn
0.686 0.750 0.025 Zn
0.884 0.250 0.490 Zn
```

Computed properties:
The energy above the lowest structure with this stoichiometry is 0.000 eV/atom. Its space-group type is No. 11.


(3)
VASP calculation (PBE) on a relaxed structure of Ca2Al2Zn.

The structure in POSCAR format:
```
Ca2Al2Zn
1.0
5.496 -2.275 0.000
5.496 2.275 0.000
-5.161 0.000 9.743
Ca Al Zn
4 4 2
direct
0.012 0.012 0.333 Ca
0.193 0.193 0.107 Ca
0.807 0.807 0.893 Ca
0.988 0.988 0.667 Ca
0.357 0.357 0.442 Al
0.491 0.491 0.117 Al
0.509 0.509 0.883 Al
0.643 0.643 0.558 Al
0.275 0.275 0.651 Zn
0.725 0.725 0.349 Zn
```

Computed properties:
Its space-group type is No. 12.


(4)
VASP calculation (PBE) on a relaxed structure of CaAlZn2.

The structure in POSCAR format:
```
CaAlZn2
1.0
3.036 -4.785 0.000
3.036 4.785 0.000
-1.166 0.000 2.803
Ca Al Zn
1 1 2
direct
0.000 0.000 0.000 Ca
0.500 0.500 0.000 Al
0.000 0.500 0.500 Zn
0.500 0.000 0.500 Zn
```

Computed properties:
Its space-group type is No. 12.


(5)
VASP calculation (PBE) on a relaxed structure of Ca3Al2Zn4.

The structure in POSCAR format:
```
Ca3Al2Zn4
1.0
5.496 -2.254 0.000
5.496 2.254 0.000
-3.221 0.000 8.041
Ca Al Zn
3 2 4
direct
0.000 0.000 0.000 Ca
0.359 0.359 0.314 Ca
0.641 0.641 0.686 Ca
0.346 0.346 0.679 Al
0.654 0.654 0.321 Al
0.086 0.086 0.419 Zn
0.275 0.275 0.935 Zn
0.725 0.725 0.065 Zn
0.914 0.914 0.581 Zn
```

Computed properties:
Its space-group type is No. 12.


(6)
VASP calculation (PBE) on a relaxed structure of Ca4AlZn3.

The structure in POSCAR format:
```
Ca4AlZn3
1.0
2.606 1.505 8.565
-2.606 1.505 8.565
0.000 -3.010 8.565
Ca Al Zn
4 1 3
direct
0.124 0.124 0.124 Ca
0.374 0.374 0.374 Ca
0.626 0.626 0.626 Ca
0.876 0.876 0.876 Ca
0.500 0.500 0.500 Al
0.000 0.000 0.000 Zn
0.248 0.248 0.248 Zn
0.752 0.752 0.752 Zn
```

Computed properties:
Its space-group type is No. 166.


(7)
VASP calculation (PBE) on a relaxed structure of CaAlZn2.

The structure in POSCAR format:
```
CaAlZn2
1.0
3.715 -2.144 0.000
3.715 2.144 0.000
-2.465 0.000 5.463
Ca Al Zn
1 1 2
direct
0.000 0.000 0.000 Ca
0.205 0.205 0.613 Al
0.472 0.472 0.416 Zn
0.798 0.798 0.393 Zn
```

Computed properties:
Its space-group type is No. 8.


(8)
VASP calculation (PBE) on a relaxed structure of Ca8AlZn2.

The structure in POSCAR format:
```
Ca8AlZn2
1.0
-2.598 4.399 7.647
2.598 -4.399 7.647
2.598 4.399 -7.647
Ca Al Zn
8 1 2
direct
0.120 0.339 0.781 Ca
0.137 0.137 0.000 Ca
0.312 0.000 0.312 Ca
0.443 0.661 0.781 Ca
0.557 0.339 0.219 Ca
0.688 0.000 0.688 Ca
0.863 0.863 0.000 Ca
0.880 0.661 0.219 Ca
0.000 0.500 0.500 Al
0.310 0.810 0.500 Zn
0.690 0.190 0.500 Zn
```

Computed properties:
Its space-group type is No. 71.


(9)
VASP calculation (PBE) on a relaxed structure of Ca2Al5Zn3.

The structure in POSCAR format:
```
Ca2Al5Zn3
1.0
4.221 0.000 0.000
0.000 4.221 0.000
0.000 0.000 11.264
Ca Al Zn
2 5 3
direct
0.000 0.500 0.244 Ca
0.500 0.000 0.756 Ca
0.000 0.000 0.500 Al
0.000 0.500 0.645 Al
0.500 0.000 0.355 Al
0.500 0.500 0.000 Al
0.500 0.500 0.500 Al
0.000 0.000 0.000 Zn
0.000 0.500 0.867 Zn
0.500 0.000 0.133 Zn
```

Computed properties:
The energy above the lowest structure with this stoichiometry is 0.022 eV/atom. Its space-group type is No. 115.


(10)
VASP calculation (PBE) on a relaxed structure of Ca2Al4Zn5.

The structure in POSCAR format:
```
Ca2Al4Zn5
1.0
0.000 4.729 8.199
2.782 0.000 8.199
2.782 4.729 0.000
Ca Al Zn
2 4 5
direct
0.130 0.130 0.870 Ca
0.870 0.870 0.130 Ca
0.215 0.522 0.478 Al
0.478 0.785 0.215 Al
0.522 0.215 0.785 Al
0.785 0.478 0.522 Al
0.000 0.000 0.500 Zn
0.250 0.250 0.250 Zn
0.500 0.500 0.000 Zn
0.500 0.500 0.500 Zn
0.750 0.750 0.750 Zn
```

Computed properties:
Its space-group type is No. 69.


(11)
VASP calculation (PBE) on a relaxed structure of CaAl5Zn7.

The structure in POSCAR format:
```
CaAl5Zn7
1.0
-2.786 4.507 4.439
2.786 -4.507 4.439
2.786 4.507 -4.439
Ca Al Zn
1 5 7
direct
0.000 0.000 0.000 Ca
0.007 0.001 0.503 Al
0.007 0.504 0.006 Al
0.498 0.001 0.994 Al
0.498 0.504 0.497 Al
0.777 0.277 0.500 Al
0.217 0.717 0.500 Zn
0.219 0.501 0.718 Zn
0.356 0.356 0.000 Zn
0.357 0.003 0.354 Zn
0.650 0.003 0.646 Zn
0.650 0.650 0.000 Zn
0.783 0.501 0.282 Zn
```

Computed properties:
Its space-group type is No. 44.


(12)
VASP calculation (PBE) on a relaxed structure of CaAlZn17.

The structure in POSCAR format:
```
CaAlZn17
1.0
4.458 2.574 4.517
-4.458 2.574 4.517
0.000 -5.148 4.517
Ca Al Zn
1 1 17
direct
0.000 0.000 0.000 Ca
0.252 0.252 0.252 Al
0.007 0.007 0.499 Zn
0.007 0.499 0.007 Zn
0.165 0.677 0.677 Zn
0.317 0.317 0.815 Zn
0.317 0.815 0.317 Zn
0.359 0.652 0.985 Zn
0.359 0.985 0.652 Zn
0.499 0.007 0.007 Zn
0.564 0.564 0.564 Zn
0.652 0.359 0.985 Zn
0.652 0.985 0.359 Zn
0.677 0.165 0.677 Zn
0.677 0.677 0.165 Zn
0.760 0.760 0.760 Zn
0.815 0.317 0.317 Zn
0.985 0.359 0.652 Zn
0.985 0.652 0.359 Zn
```

Computed properties:
Its space-group type is No. 160.


(13)
VASP calculation (PBE) on a relaxed structure of Ca2Al2Zn.

The structure in POSCAR format:
```
Ca2Al2Zn
1.0
7.009 0.000 0.000
0.000 7.009 0.000
0.000 0.000 4.955
Ca Al Zn
4 4 2
direct
0.171 0.329 0.000 Ca
0.329 0.829 0.000 Ca
0.671 0.171 0.000 Ca
0.829 0.671 0.000 Ca
0.135 0.635 0.500 Al
0.365 0.135 0.500 Al
0.635 0.865 0.500 Al
0.865 0.365 0.500 Al
0.000 0.000 0.500 Zn
0.500 0.500 0.500 Zn
```

Computed properties:
Its space-group type is No. 127.


(14)
VASP calculation (PBE) on a relaxed structure of CaAl7Zn5.

The structure in POSCAR format:
```
CaAl7Zn5
1.0
-2.568 4.668 4.663
2.568 -4.668 4.663
2.568 4.668 -4.663
Ca Al Zn
1 7 5
direct
0.000 0.000 0.000 Ca
0.218 0.500 0.718 Al
0.355 0.001 0.355 Al
0.356 0.356 0.000 Al
0.646 0.001 0.645 Al
0.646 0.646 0.000 Al
0.783 0.500 0.282 Al
0.784 0.284 0.500 Al
0.003 0.000 0.502 Zn
0.003 0.501 0.003 Zn
0.216 0.716 0.500 Zn
0.498 0.000 0.997 Zn
0.498 0.501 0.498 Zn
```

Computed properties:
Its space-group type is No. 44.


(15)
VASP calculation (PBE) on a relaxed structure of CaZrAlZn2.

The structure in POSCAR format:
```
CaZrAlZn2
1.0
4.734 0.000 0.000
0.000 4.734 0.000
0.000 0.000 5.324
Ca Zr Al Zn
1 1 1 2
direct
0.000 0.000 0.000 Ca
0.500 0.500 0.000 Zr
0.000 0.000 0.500 Al
0.000 0.500 0.500 Zn
0.500 0.000 0.500 Zn
```

Computed properties:
The energy above the lowest structure with this stoichiometry is 0.000 eV/atom. Its space-group type is No. 123.


(16)
VASP calculation (PBE) on a relaxed structure of CaZrAlZn2.

The structure in POSCAR format:
```
CaZrAlZn2
1.0
5.115 0.000 0.000
0.000 5.115 0.000
0.000 0.000 5.349
Ca Zr Al Zn
1 1 1 2
direct
0.000 0.000 0.000 Ca
0.000 0.000 0.500 Zr
0.500 0.500 0.500 Al
0.000 0.500 0.000 Zn
0.500 0.000 0.000 Zn
```

Computed properties:
The energy above the lowest structure with this stoichiometry is 0.682 eV/atom. Its space-group type is No. 123.


(17)
VASP calculation (PBE) on a relaxed structure of CaZr2Al2.

The structure in POSCAR format:
```
CaZr2Al2
1.0
8.110 0.000 0.000
0.000 8.110 0.000
0.000 0.000 3.413
Ca Zr Al
2 4 4
direct
0.000 0.000 0.000 Ca
0.500 0.500 0.000 Ca
0.175 0.325 0.500 Zr
0.325 0.825 0.500 Zr
0.675 0.175 0.500 Zr
0.825 0.675 0.500 Zr
0.119 0.619 0.000 Al
0.381 0.119 0.000 Al
0.619 0.881 0.000 Al
0.881 0.381 0.000 Al
```

Computed properties:
The energy above the lowest structure with this stoichiometry is 0.000 eV/atom. Its space-group type is No. 127.


(18)
VASP calculation (PBE) on a relaxed structure of CaZr2Al.

The structure in POSCAR format:
```
CaZr2Al
1.0
1.603 0.925 10.806
-1.603 0.925 10.806
0.000 -1.851 10.806
Ca Zr Al
1 2 1
direct
0.000 0.000 0.000 Ca
0.240 0.240 0.240 Zr
0.760 0.760 0.760 Zr
0.500 0.500 0.500 Al
```

Computed properties:
Its space-group type is No. 166.


(19)
VASP calculation (PBE) on a relaxed structure of CaZrAl2.

The structure in POSCAR format:
```
CaZrAl2
1.0
3.253 0.000 0.000
0.000 3.253 0.000
0.000 0.000 8.445
Ca Zr Al
1 1 2
direct
0.000 0.000 0.000 Ca
0.500 0.500 0.338 Zr
0.000 0.000 0.554 Al
0.500 0.500 0.734 Al
```

Computed properties:
Its space-group type is No. 99.


(20)
VASP calculation (PBE) on a relaxed structure of CaZrAl2.

The structure in POSCAR format:
```
CaZrAl2
1.0
0.000 3.507 3.507
3.507 0.000 3.507
3.507 3.507 0.000
Ca Zr Al
1 1 2
direct
0.000 0.000 0.000 Ca
0.750 0.750 0.750 Zr
0.250 0.250 0.250 Al
0.500 0.500 0.500 Al
```

Computed properties:
Its space-group type is No. 216.


no.,energy of formation (eV/atom),total magnetization (μB per formula unit)
1,-0.2794,0.000
2,-0.1178,0.000
3,-0.2592,0.000
4,0.0554,0.000
5,-0.2841,0.000
6,-0.2305,0.000
7,-0.1822,0.000
8,-0.0672,0.000
9,-0.2413,0.000
10,-0.1332,0.000
11,-0.0764,0.000
12,-0.0473,0.000
13,-0.1768,0.000
14,-0.0709,0.000
15,0.6332,1.256
16,1.3150,0.000
17,-0.1934,0.000
18,0.1448,0.000
19,-0.0823,0.000
20,0.2419,0.000